The following is a DFT calculation (PBE) of crystalline TaNbAu2 at its relaxed geometry.

Properties
Its excess energy over the best structure of this formula in the dataset is 519 meV/atom. The value obtained for the total energy is -107.3 eV for the cell shown. As for the formation energy: 0.411 eV/atom. The calculation puts the magnetic moment at 0.0 μB per cell.

Geometry as CIF:
```
data_TaNbAu2
_chemical_formula_sum 'Ta4 Nb4 Au8'
_cell_length_a 7.544
_cell_length_b 7.544
_cell_length_c 5.434
_cell_angle_alpha 90.00
_cell_angle_beta 90.00
_cell_angle_gamma 90.00
_space_group_name_H-M_alt 'I -4 2 d'
_space_group_IT_number 122
_space_group_name_Hall 'I -4 2bw'
loop_
_atom_site_label
_atom_site_type_symbol
_atom_site_fract_x
_atom_site_fract_y
_atom_site_fract_z
_atom_site_occupancy
Ta1 Ta 0.000 0.000 0.000 1
Nb1 Nb 0.000 0.000 0.500 1
Au1 Au 0.243 0.250 0.125 1
```